Record 1
The following is a GGA-PBE calculation of an optimized crystal structure of MgCuS2, from Alexandria via LeMat-Bulk.

Calculated values
As for the uncorrected formation energy: -0.676 eV per atom.

Structure (CIF):
```
data_MgCuS2
_chemical_formula_sum 'Mg4 Cu4 S8'
_cell_length_a 5.474
_cell_length_b 5.474
_cell_length_c 10.913
_cell_angle_alpha 90.00
_cell_angle_beta 90.00
_cell_angle_gamma 90.00
_space_group_name_H-M_alt 'I -4 2 d'
_space_group_IT_number 122
_space_group_name_Hall 'I -4 2bw'
loop_
_atom_site_label
_atom_site_fract_x
_atom_site_fract_y
_atom_site_fract_z
Mg1 0.000 0.000 0.000
Cu1 0.000 0.000 0.500
S1 0.222 0.250 0.625
```


Record 2
The following is a GGA-PBE calculation of an optimized crystal structure of Mg2CuS, from Alexandria via LeMat-Bulk.

Calculated values
As for the uncorrected formation energy: -0.276 eV per atom.

Structure (CIF):
```
data_Mg2CuS
_chemical_formula_sum 'Mg8 Cu4 S4'
_cell_length_a 6.771
_cell_length_b 6.771
_cell_length_c 7.152
_cell_angle_alpha 90.00
_cell_angle_beta 90.00
_cell_angle_gamma 90.00
_space_group_name_H-M_alt 'I -4 2 d'
_space_group_IT_number 122
_space_group_name_Hall 'I -4 2bw'
loop_
_atom_site_label
_atom_site_fract_x
_atom_site_fract_y
_atom_site_fract_z
Mg1 0.228 0.250 0.125
Cu1 0.000 0.000 0.500
S1 0.000 0.000 0.000
```


Record 3
The following is a GGA-PBE calculation of an optimized crystal structure of MgCu2S, from Alexandria via LeMat-Bulk.

Calculated values
The calculation puts the energy above the most stable polymorph in this dataset at 0.0569 eV per atom. As for the uncorrected formation energy: 0.136 eV per atom.

Structure (CIF):
```
data_MgCu2S
_chemical_formula_sum 'Mg4 Cu8 S4'
_cell_length_a 6.243
_cell_length_b 6.243
_cell_length_c 6.243
_cell_angle_alpha 90.00
_cell_angle_beta 90.00
_cell_angle_gamma 90.00
_space_group_name_H-M_alt 'F m -3 m'
_space_group_IT_number 225
_space_group_name_Hall '-F 4 2 3'
loop_
_atom_site_label
_atom_site_fract_x
_atom_site_fract_y
_atom_site_fract_z
Mg1 0.000 0.000 0.000
Cu1 0.250 0.250 0.250
S1 0.000 0.000 0.500
```


Record 4
The following is a GGA-PBE calculation of an optimized crystal structure of MgCu2S2, from Alexandria via LeMat-Bulk.

Calculated values
The calculation puts the energy above the most stable polymorph in this dataset at 0.1388 eV per atom. As for the uncorrected formation energy: -0.232 eV per atom.

Structure (CIF):
```
data_MgCu2S2
_chemical_formula_sum 'Mg2 Cu4 S4'
_cell_length_a 6.770
_cell_length_b 6.770
_cell_length_c 3.479
_cell_angle_alpha 90.00
_cell_angle_beta 90.00
_cell_angle_gamma 90.00
_space_group_name_H-M_alt 'P 4/m b m'
_space_group_IT_number 127
_space_group_name_Hall '-P 4 2ab'
loop_
_atom_site_label
_atom_site_fract_x
_atom_site_fract_y
_atom_site_fract_z
Mg1 0.000 0.000 0.000
Cu1 0.134 0.366 0.500
S1 0.185 0.685 0.000
```


Record 5
The following is a GGA-PBE calculation of an optimized crystal structure of MgCu3S, from Alexandria via LeMat-Bulk.

Calculated values
The calculation puts the energy above the most stable polymorph in this dataset at 0.8190 eV per atom. As for the uncorrected formation energy: 1.126 eV per atom.

Structure (CIF):
```
data_MgCu3S
_chemical_formula_sum 'Mg1 Cu3 S1'
_cell_length_a 4.573
_cell_length_b 4.573
_cell_length_c 4.573
_cell_angle_alpha 90.00
_cell_angle_beta 90.00
_cell_angle_gamma 90.00
_space_group_name_H-M_alt 'P m -3 m'
_space_group_IT_number 221
_space_group_name_Hall '-P 4 2 3'
loop_
_atom_site_label
_atom_site_fract_x
_atom_site_fract_y
_atom_site_fract_z
Mg1 0.000 0.000 0.000
Cu1 0.000 0.000 0.500
S1 0.500 0.500 0.500
```


Record 6
The following is a GGA-PBE calculation of an optimized crystal structure of Mg3CuS, from Alexandria via LeMat-Bulk.

Calculated values
The calculation puts the energy above the most stable polymorph in this dataset at 0.0000 eV per atom. As for the uncorrected formation energy: 0.008 eV per atom.

Structure (CIF):
```
data_Mg3CuS
_chemical_formula_sum 'Mg3 Cu1 S1'
_cell_length_a 4.775
_cell_length_b 4.775
_cell_length_c 4.775
_cell_angle_alpha 90.00
_cell_angle_beta 90.00
_cell_angle_gamma 90.00
_space_group_name_H-M_alt 'P m -3 m'
_space_group_IT_number 221
_space_group_name_Hall '-P 4 2 3'
loop_
_atom_site_label
_atom_site_fract_x
_atom_site_fract_y
_atom_site_fract_z
Mg1 0.000 0.000 0.500
Cu1 0.500 0.500 0.500
S1 0.000 0.000 0.000
```


Record 7
The following is a GGA-PBE calculation of an optimized crystal structure of MgCuS3, from Alexandria via LeMat-Bulk.

Calculated values
The calculation puts the energy above the most stable polymorph in this dataset at 0.0000 eV per atom. As for the uncorrected formation energy: 0.130 eV per atom.

Structure (CIF):
```
data_MgCuS3
_chemical_formula_sum 'Mg1 Cu1 S3'
_cell_length_a 4.537
_cell_length_b 4.537
_cell_length_c 4.537
_cell_angle_alpha 90.00
_cell_angle_beta 90.00
_cell_angle_gamma 90.00
_space_group_name_H-M_alt 'P m -3 m'
_space_group_IT_number 221
_space_group_name_Hall '-P 4 2 3'
loop_
_atom_site_label
_atom_site_fract_x
_atom_site_fract_y
_atom_site_fract_z
Mg1 0.000 0.000 0.000
Cu1 0.500 0.500 0.500
S1 0.000 0.500 0.500
```


Record 8
The following is a GGA-PBE calculation of an optimized crystal structure of MgCu2SbS4, from Alexandria via LeMat-Bulk.

Calculated values
As for the uncorrected formation energy: -0.458 eV per atom.

Structure (CIF):
```
data_MgCu2SbS4
_chemical_formula_sum 'Mg4 Cu8 Sb4 S16'
_cell_length_a 7.954
_cell_length_b 7.959
_cell_length_c 11.004
_cell_angle_alpha 90.00
_cell_angle_beta 90.00
_cell_angle_gamma 90.00
_space_group_name_H-M_alt 'F m m 2'
_space_group_IT_number 42
_space_group_name_Hall 'F 2 -2'
loop_
_atom_site_label
_atom_site_fract_x
_atom_site_fract_y
_atom_site_fract_z
Mg1 0.000 0.000 0.000
Cu1 0.250 0.250 0.250
Sb1 0.000 0.000 0.501
S1 0.000 0.242 0.141
S2 0.242 0.000 0.859
```


Record 9
The following is a GGA-PBE calculation of an optimized crystal structure of Mg3Sc3CuS8, from Alexandria via LeMat-Bulk.

Calculated values
As for the uncorrected formation energy: -1.422 eV per atom.

Structure (CIF):
```
data_Mg3Sc3CuS8
_chemical_formula_sum 'Mg9 Sc9 Cu3 S24'
_cell_length_a 7.3321
_cell_length_b 7.3321
_cell_length_c 18.0879
_cell_angle_alpha 90.00
_cell_angle_beta 90.00
_cell_angle_gamma 120.00
_space_group_name_H-M_alt 'R -3 m'
_space_group_IT_number 166
_space_group_name_Hall '-R 3 2"'
loop_
_atom_site_label
_atom_site_fract_x
_atom_site_fract_y
_atom_site_fract_z
Mg1 0.0000 0.5000 0.0000
Sc1 0.0000 0.5000 0.5000
Cu1 0.0000 0.0000 0.5000
S1 0.0000 0.0000 0.2501
S2 0.0047 0.5023 0.2478
```


Record 10
The following is a GGA-PBE calculation of an optimized crystal structure of MgSc4CuS8, from Alexandria via LeMat-Bulk.

Calculated values
As for the uncorrected formation energy: -1.508 eV per atom.

Structure (CIF):
```
data_MgSc4CuS8
_chemical_formula_sum 'Mg3 Sc12 Cu3 S24'
_cell_length_a 7.4914
_cell_length_b 7.4914
_cell_length_c 18.3282
_cell_angle_alpha 90.00
_cell_angle_beta 90.00
_cell_angle_gamma 120.00
_space_group_name_H-M_alt 'R 3 m'
_space_group_IT_number 160
_space_group_name_Hall 'R 3 -2"'
loop_
_atom_site_label
_atom_site_fract_x
_atom_site_fract_y
_atom_site_fract_z
Mg1 0.0000 0.0000 0.0000
Sc1 0.0000 0.0000 0.6180
Sc2 0.1711 0.3422 0.8288
Cu1 0.0000 0.0000 0.3746
S1 0.0000 0.0000 0.2438
S2 0.0000 0.0000 0.7530
S3 0.0072 0.5036 0.7491
S4 0.1786 0.3572 0.5773
```


Record 11
The following is a GGA-PBE calculation of an optimized crystal structure of MgCuSi2S, from Alexandria via LeMat-Bulk.

Calculated values
As for the uncorrected formation energy: 0.706 eV per atom.

Structure (CIF):
```
data_MgCuSi2S
_chemical_formula_sum 'Mg1 Cu1 Si2 S1'
_cell_length_a 4.597
_cell_length_b 4.597
_cell_length_c 4.656
_cell_angle_alpha 90.00
_cell_angle_beta 90.00
_cell_angle_gamma 90.00
_space_group_name_H-M_alt 'P 4/m m m'
_space_group_IT_number 123
_space_group_name_Hall '-P 4 2'
loop_
_atom_site_label
_atom_site_fract_x
_atom_site_fract_y
_atom_site_fract_z
Mg1 0.000 0.000 0.000
Cu1 0.500 0.500 0.000
Si1 0.000 0.500 0.500
S1 0.000 0.000 0.500
```


Record 12
The following is a GGA-PBE calculation of an optimized crystal structure of MgCu2SiS, from Alexandria via LeMat-Bulk.

Calculated values
As for the uncorrected formation energy: 0.233 eV per atom.

Structure (CIF):
```
data_MgCu2SiS
_chemical_formula_sum 'Mg1 Cu2 Si1 S1'
_cell_length_a 4.329
_cell_length_b 4.329
_cell_length_c 5.210
_cell_angle_alpha 90.00
_cell_angle_beta 90.00
_cell_angle_gamma 90.00
_space_group_name_H-M_alt 'P 4/m m m'
_space_group_IT_number 123
_space_group_name_Hall '-P 4 2'
loop_
_atom_site_label
_atom_site_fract_x
_atom_site_fract_y
_atom_site_fract_z
Mg1 0.000 0.000 0.000
Cu1 0.000 0.500 0.500
Si1 0.500 0.500 0.500
S1 0.500 0.500 0.000
```